DFT (GGA-PBE) results for crystalline HfU3Sb5 at its relaxed geometry.

Geometry as CIF:
```
data_HfU3Sb5
_chemical_formula_sum 'Hf2 U6 Sb10'
_cell_length_a 9.2199
_cell_length_b 9.2199
_cell_length_c 6.1727
_cell_angle_alpha 90.00
_cell_angle_beta 90.00
_cell_angle_gamma 120.00
_space_group_name_H-M_alt 'P 63/m c m'
_space_group_IT_number 193
_space_group_name_Hall '-P 6c 2'
loop_
_atom_site_label
_atom_site_fract_x
_atom_site_fract_y
_atom_site_fract_z
Hf1 0.0000 0.0000 0.0000
U1 0.0000 0.3868 0.2500
Sb1 0.0000 0.2703 0.7500
Sb2 0.3333 0.6667 0.0000
```

DFT total energy, eV/atom: -7.5528